Material: FeNiAuF6
Method: DFT, PBE with a Hubbard U
State: relaxed

Results
* crystal system: trigonal
* VASP energy: -78.48 eV/cell
* size of the total moment: 13.82 μB per cell
* mass density: 5.385 g cm⁻³

```
FeNiAuF6
1.0
5.347 0.000 0.000
-2.673 4.630 0.000
0.000 0.000 10.600
F Fe Ni Au
12 2 2 2
Direct
0.991 0.624 0.352 F
0.991 0.367 0.148 F
0.376 0.009 0.148 F
0.376 0.367 0.352 F
0.624 0.991 0.852 F
0.633 0.009 0.352 F
0.633 0.624 0.148 F
0.009 0.633 0.852 F
0.367 0.991 0.648 F
0.009 0.376 0.648 F
0.367 0.376 0.852 F
0.624 0.633 0.648 F
0.667 0.333 0.250 Fe
0.333 0.667 0.750 Fe
0.667 0.333 0.750 Ni
0.333 0.667 0.250 Ni
0.000 0.000 0.500 Au
0.000 0.000 0.000 Au
```